# 1
Entry from Alexandria via LeMat-Bulk: an optimized crystal structure of Li8Tl2Cu (PBE-GGA). Values from VASP.

Properties
Total moment = 0.0 Bohr magnetons per cell
DFT formation energy = -0.12 eV per atom
Volume = 17.9 Å³ per atom
D(E_F) = 4.45 states/eV/f.u.
Space-group type = C2/m (12)
E_tot = -0.1702 Ry/atom

Quantum ESPRESSO input file:
```
&SYSTEM
  ibrav = 0, nat = 11, ntyp = 3
/
ATOMIC_SPECIES
Li 6.94 Li.upf
Tl 204.38 Tl.upf
Cu 63.55 Cu.upf
ATOMIC_POSITIONS angstrom
Li 2.310 2.579 -0.175
Li 1.288 0.983 4.481
Li 0.505 1.179 1.755
Li -0.351 4.354 -1.222
Li 3.065 5.270 2.452
Li 2.281 5.467 -0.274
Li 1.260 3.871 4.382
Li 3.920 2.096 5.429
Tl 0.439 4.058 1.526
Tl 3.131 2.392 2.681
Cu 2.180 0.000 -0.627
CELL_PARAMETERS angstrom
4.360 0.000 -1.253
-0.603 5.832 -2.098
-0.187 0.617 7.558
```



# 2
Entry from Alexandria via LeMat-Bulk: an optimized crystal structure of Li3TlCu (PBE-GGA). Values from VASP.

Properties
Excess energy over the best structure of this formula in the dataset = 435 meV per atom
Total moment = 0.0 Bohr magnetons per cell
DFT formation energy = 0.53 eV per atom
Volume = 25.3 Å³ per atom
D(E_F) = 5.24 states/eV/f.u.
Space-group type = Pm-3m (221)
E_tot = -0.1407 Ry/atom

Quantum ESPRESSO input file:
```
&SYSTEM
  ibrav = 0, nat = 5, ntyp = 3
/
ATOMIC_SPECIES
Tl 204.38 Tl.upf
Cu 63.55 Cu.upf
Li 6.94 Li.upf
ATOMIC_POSITIONS angstrom
Tl 0.000 0.000 0.000
Cu -1.584 -4.045 -0.165
Li 0.931 -1.865 -1.398
Li -0.192 -1.562 1.955
Li -2.323 -0.618 -0.722
CELL_PARAMETERS angstrom
-4.645 -1.237 -1.445
1.863 -3.729 -2.796
-0.384 -3.124 3.910
```



# 3
Entry from Alexandria via LeMat-Bulk: an optimized crystal structure of Li4TlCu (PBE-GGA). Values from VASP.

Properties
Excess energy over the best structure of this formula in the dataset = 43 meV per atom
Total moment = 0.0 Bohr magnetons per cell
DFT formation energy = -0.06 eV per atom
Volume = 17.3 Å³ per atom
D(E_F) = 2.60 states/eV/f.u.
Space-group type = Pm (6)
E_tot = -0.1775 Ry/atom

Quantum ESPRESSO input file:
```
&SYSTEM
  ibrav = 0, nat = 6, ntyp = 3
/
ATOMIC_SPECIES
Li 6.94 Li.upf
Tl 204.38 Tl.upf
Cu 63.55 Cu.upf
ATOMIC_POSITIONS angstrom
Li 1.966 4.597 1.363
Li 1.964 4.595 6.139
Li 0.491 2.290 5.054
Li 1.962 2.292 2.759
Tl 0.500 2.292 0.133
Cu 0.495 4.599 3.702
CELL_PARAMETERS angstrom
2.933 0.000 0.006
0.000 4.609 0.000
0.008 -0.001 7.688
```



# 4
Entry from Alexandria via LeMat-Bulk: an optimized crystal structure of LiTl2Cu (PBE-GGA). Values from VASP.

Properties
Total moment = 0.0 Bohr magnetons per cell
DFT formation energy = 0.20 eV per atom
Volume = 23.5 Å³ per atom
D(E_F) = 1.49 states/eV/f.u.
Space-group type = I-42d (122)
E_tot = -0.1824 Ry/atom

Quantum ESPRESSO input file:
```
&SYSTEM
  ibrav = 0, nat = 8, ntyp = 3
/
ATOMIC_SPECIES
Tl 204.38 Tl.upf
Cu 63.55 Cu.upf
Li 6.94 Li.upf
ATOMIC_POSITIONS angstrom
Tl 3.373 1.114 2.371
Tl 1.083 3.342 2.371
Tl 3.342 3.311 7.113
Tl 5.570 5.601 7.113
Cu 0.000 0.000 0.000
Cu 4.456 2.228 4.742
Li 2.228 2.228 0.000
Li 2.228 4.456 4.742
CELL_PARAMETERS angstrom
4.456 0.000 0.000
0.000 4.456 0.000
2.228 2.228 9.484
```



# 5
Entry from Alexandria via LeMat-Bulk: an optimized crystal structure of LiTl2Cu (PBE-GGA). Values from VASP.

Properties
Total moment = 0.0 Bohr magnetons per cell
DFT formation energy = 0.07 eV per atom
Volume = 21.1 Å³ per atom
D(E_F) = 1.26 states/eV/f.u.
Space-group type = Cm (8)
E_tot = -0.1921 Ry/atom

Quantum ESPRESSO input file:
```
&SYSTEM
  ibrav = 0, nat = 4, ntyp = 3
/
ATOMIC_SPECIES
Cu 63.55 Cu.upf
Li 6.94 Li.upf
Tl 204.38 Tl.upf
ATOMIC_POSITIONS angstrom
Cu 5.152 1.807 2.572
Li 2.432 0.853 1.294
Tl 9.136 3.205 0.462
Tl 7.694 2.699 3.586
CELL_PARAMETERS angstrom
5.167 -0.085 0.115
3.982 3.295 0.115
1.028 0.360 4.894
```



# 6
Entry from Alexandria via LeMat-Bulk: an optimized crystal structure of LiTlCu3 (PBE-GGA). Values from VASP.

Properties
Excess energy over the best structure of this formula in the dataset = 0 meV per atom
Total moment = 0.0 Bohr magnetons per cell
DFT formation energy = 0.56 eV per atom
Volume = 16.1 Å³ per atom
D(E_F) = 1.70 states/eV/f.u.
Space-group type = Pm-3m (221)
E_tot = -0.2022 Ry/atom

Quantum ESPRESSO input file:
```
&SYSTEM
  ibrav = 0, nat = 5, ntyp = 3
/
ATOMIC_SPECIES
Tl 204.38 Tl.upf
Cu 63.55 Cu.upf
Li 6.94 Li.upf
ATOMIC_POSITIONS angstrom
Tl 2.160 2.160 2.160
Cu 0.000 2.160 0.000
Cu 0.000 0.000 2.160
Cu 2.160 0.000 0.000
Li 0.000 0.000 0.000
CELL_PARAMETERS angstrom
4.321 0.000 0.000
0.000 4.321 0.000
0.000 0.000 4.321
```



# 7
Entry from Alexandria via LeMat-Bulk: an optimized crystal structure of LiTlCu4 (PBE-GGA). Values from VASP.

Properties
Total moment = 0.0 Bohr magnetons per cell
DFT formation energy = 0.01 eV per atom
Volume = 14.8 Å³ per atom
D(E_F) = 3.48 states/eV/f.u.
Space-group type = F-43m (216)
E_tot = -0.2522 Ry/atom

Quantum ESPRESSO input file:
```
&SYSTEM
  ibrav = 0, nat = 6, ntyp = 3
/
ATOMIC_SPECIES
Cu 63.55 Cu.upf
Li 6.94 Li.upf
Tl 204.38 Tl.upf
ATOMIC_POSITIONS angstrom
Cu -2.147 -3.318 2.377
Cu -2.113 -5.739 2.980
Cu -2.882 -4.048 4.647
Cu -4.291 -4.564 2.653
Li -4.288 -6.626 4.746
Tl 0.000 0.000 0.000
CELL_PARAMETERS angstrom
-4.307 -2.504 0.555
0.067 -4.863 1.213
-1.477 -1.466 4.560
```



# 8
Entry from Alexandria via LeMat-Bulk: an optimized crystal structure of Li4TlCu (PBE-GGA). Values from VASP.

Properties
Excess energy over the best structure of this formula in the dataset = 159 meV per atom
Total moment = 0.7 Bohr magnetons per cell
DFT formation energy = 0.05 eV per atom
Volume = 16.1 Å³ per atom
D(E_F) = 3.26 states/eV/f.u.
Space-group type = F-43m (216)
E_tot = -0.1689 Ry/atom

Quantum ESPRESSO input file:
```
&SYSTEM
  ibrav = 0, nat = 6, ntyp = 3
/
ATOMIC_SPECIES
Li 6.94 Li.upf
Tl 204.38 Tl.upf
Cu 63.55 Cu.upf
ATOMIC_POSITIONS angstrom
Li 2.726 4.554 4.554
Li 4.554 4.554 2.726
Li 4.554 2.726 4.554
Li 2.726 2.726 2.726
Tl 5.460 5.460 5.460
Cu 0.000 0.000 0.000
CELL_PARAMETERS angstrom
0.000 3.640 3.640
3.640 0.000 3.640
3.640 3.640 0.000
```



# 9
Entry from Alexandria via LeMat-Bulk: an optimized crystal structure of Li2TlCu (PBE-GGA). Values from VASP.

Properties
Total moment = 0.0 Bohr magnetons per cell
DFT formation energy = 0.07 eV per atom
Volume = 18.9 Å³ per atom
D(E_F) = 1.01 states/eV/f.u.
Space-group type = R3m (160)
E_tot = -0.1840 Ry/atom

Quantum ESPRESSO input file:
```
&SYSTEM
  ibrav = 0, nat = 4, ntyp = 3
/
ATOMIC_SPECIES
Li 6.94 Li.upf
Tl 204.38 Tl.upf
Cu 63.55 Cu.upf
ATOMIC_POSITIONS angstrom
Li -3.287 -5.348 -1.847
Li -1.227 -1.299 -1.843
Tl -2.699 -3.078 -3.687
Cu -0.906 0.446 -3.684
CELL_PARAMETERS angstrom
-2.096 1.068 -2.326
0.748 -0.378 -3.200
-4.065 -6.877 -1.848
```



# 10
Entry from Alexandria via LeMat-Bulk: an optimized crystal structure of LiTl2Cu2 (PBE-GGA). Values from VASP.

Properties
Excess energy over the best structure of this formula in the dataset = 9 meV per atom
Total moment = 0.0 Bohr magnetons per cell
DFT formation energy = 0.11 eV per atom
Volume = 19.4 Å³ per atom
D(E_F) = 1.49 states/eV/f.u.
Space-group type = P4/mbm (127)
E_tot = -0.2101 Ry/atom

Quantum ESPRESSO input file:
```
&SYSTEM
  ibrav = 0, nat = 10, ntyp = 3
/
ATOMIC_SPECIES
Tl 204.38 Tl.upf
Cu 63.55 Cu.upf
Li 6.94 Li.upf
ATOMIC_POSITIONS angstrom
Tl 1.297 4.917 1.846
Tl 4.917 5.944 1.846
Tl 5.944 2.324 1.846
Tl 2.324 1.297 1.846
Cu 2.743 6.363 0.000
Cu 6.363 4.498 0.000
Cu 4.498 0.878 0.000
Cu 0.878 2.743 0.000
Li 0.000 0.000 0.000
Li 3.621 3.621 0.000
CELL_PARAMETERS angstrom
7.241 0.000 0.000
0.000 7.241 0.000
0.000 0.000 3.691
```



# 11
Entry from Alexandria via LeMat-Bulk: an optimized crystal structure of Li6TlCu (PBE-GGA). Values from VASP.

Properties
Total moment = 0.0 Bohr magnetons per cell
DFT formation energy = -0.08 eV per atom
Volume = 17.3 Å³ per atom
D(E_F) = 3.43 states/eV/f.u.
Space-group type = P-6m2 (187)
E_tot = -0.1710 Ry/atom

Quantum ESPRESSO input file:
```
&SYSTEM
  ibrav = 0, nat = 8, ntyp = 3
/
ATOMIC_SPECIES
Li 6.94 Li.upf
Tl 204.38 Tl.upf
Cu 63.55 Cu.upf
ATOMIC_POSITIONS angstrom
Li -0.832 1.438 1.473
Li -3.195 1.353 3.080
Li -2.587 -0.811 1.315
Li -2.750 -0.431 -1.589
Li -5.244 -0.521 0.106
Li -4.602 -2.804 -1.756
Tl -3.422 1.733 0.221
Cu -1.429 3.643 3.256
CELL_PARAMETERS angstrom
-2.436 2.146 -3.469
-3.564 -4.566 -0.322
-1.234 4.392 3.583
```



# 12
Entry from Alexandria via LeMat-Bulk: an optimized crystal structure of LiTl2Cu (PBE-GGA). Values from VASP.

Properties
Total moment = 0.0 Bohr magnetons per cell
DFT formation energy = 0.09 eV per atom
Volume = 22.6 Å³ per atom
D(E_F) = 1.39 states/eV/f.u.
Space-group type = R-3m (166)
E_tot = -0.1908 Ry/atom

Quantum ESPRESSO input file:
```
&SYSTEM
  ibrav = 0, nat = 4, ntyp = 3
/
ATOMIC_SPECIES
Cu 63.55 Cu.upf
Li 6.94 Li.upf
Tl 204.38 Tl.upf
ATOMIC_POSITIONS angstrom
Cu -5.080 3.053 -0.484
Li -15.239 9.158 -1.453
Tl -20.182 12.129 -1.924
Tl -10.295 6.187 -0.982
CELL_PARAMETERS angstrom
-5.713 5.715 -1.390
-7.518 2.622 -1.962
-7.088 3.873 1.415
```



# 13
Entry from Alexandria via LeMat-Bulk: an optimized crystal structure of Li2TlCu2 (PBE-GGA). Values from VASP.

Properties
Excess energy over the best structure of this formula in the dataset = 0 meV per atom
Total moment = 0.0 Bohr magnetons per cell
DFT formation energy = -0.01 eV per atom
Volume = 16.3 Å³ per atom
D(E_F) = 1.34 states/eV/f.u.
Space-group type = P4/mbm (127)
E_tot = -0.2120 Ry/atom

Quantum ESPRESSO input file:
```
&SYSTEM
  ibrav = 0, nat = 10, ntyp = 3
/
ATOMIC_SPECIES
Tl 204.38 Tl.upf
Cu 63.55 Cu.upf
Li 6.94 Li.upf
ATOMIC_POSITIONS angstrom
Tl 0.000 0.000 0.000
Tl 3.471 3.471 0.000
Cu 2.609 6.081 0.000
Cu 6.081 4.334 0.000
Cu 4.334 0.862 0.000
Cu 0.862 2.609 0.000
Li 1.169 4.641 1.689
Li 4.641 5.774 1.689
Li 5.774 2.302 1.689
Li 2.302 1.169 1.689
CELL_PARAMETERS angstrom
6.943 0.000 0.000
0.000 6.943 0.000
0.000 0.000 3.377
```



# 14
Entry from Alexandria via LeMat-Bulk: an optimized crystal structure of Li8TlCu2 (PBE-GGA). Values from VASP.

Properties
Total moment = 0.0 Bohr magnetons per cell
DFT formation energy = 0.00 eV per atom
Volume = 18.2 Å³ per atom
D(E_F) = 4.08 states/eV/f.u.
Space-group type = C2/m (12)
E_tot = -0.1731 Ry/atom

Quantum ESPRESSO input file:
```
&SYSTEM
  ibrav = 0, nat = 11, ntyp = 3
/
ATOMIC_SPECIES
Li 6.94 Li.upf
Tl 204.38 Tl.upf
Cu 63.55 Cu.upf
ATOMIC_POSITIONS angstrom
Li 4.433 2.090 1.445
Li 4.983 5.929 4.293
Li 1.920 3.142 0.000
Li 3.419 8.017 2.802
Li 2.870 4.179 2.936
Li 3.820 5.215 0.000
Li 1.307 6.267 1.445
Li 1.856 10.106 4.293
Tl 2.320 0.340 0.000
Cu 0.549 3.839 2.030
Cu 1.099 7.678 3.707
CELL_PARAMETERS angstrom
4.641 0.680 0.000
1.099 7.678 0.000
0.549 3.839 5.737
```



# 15
Entry from Alexandria via LeMat-Bulk: an optimized crystal structure of Li2TlCu (PBE-GGA). Values from VASP.

Properties
Total moment = 0.0 Bohr magnetons per cell
DFT formation energy = 0.05 eV per atom
Volume = 18.4 Å³ per atom
D(E_F) = 0.98 states/eV/f.u.
Space-group type = I-42d (122)
E_tot = -0.1852 Ry/atom

Quantum ESPRESSO input file:
```
&SYSTEM
  ibrav = 0, nat = 8, ntyp = 3
/
ATOMIC_SPECIES
Tl 204.38 Tl.upf
Cu 63.55 Cu.upf
Li 6.94 Li.upf
ATOMIC_POSITIONS angstrom
Tl 0.000 0.000 0.000
Tl 7.453 3.726 1.324
Cu 3.726 3.726 0.000
Cu 3.726 7.453 1.324
Li 5.311 1.863 0.662
Li 2.141 5.590 0.662
Li 5.590 5.868 1.986
Li 9.316 9.038 1.986
CELL_PARAMETERS angstrom
7.453 0.000 0.000
0.000 7.453 0.000
3.726 3.726 2.648
```



# 16
Entry from Alexandria via LeMat-Bulk: an optimized crystal structure of Li2TlCu2 (PBE-GGA). Values from VASP.

Properties
Excess energy over the best structure of this formula in the dataset = 162 meV per atom
Total moment = 0.0 Bohr magnetons per cell
DFT formation energy = 0.16 eV per atom
Volume = 17.7 Å³ per atom
D(E_F) = 1.59 states/eV/f.u.
Space-group type = I4/mmm (139)
E_tot = -0.2001 Ry/atom

Quantum ESPRESSO input file:
```
&SYSTEM
  ibrav = 0, nat = 5, ntyp = 3
/
ATOMIC_SPECIES
Tl 204.38 Tl.upf
Cu 63.55 Cu.upf
Li 6.94 Li.upf
ATOMIC_POSITIONS angstrom
Tl 0.000 0.000 0.000
Cu -0.508 -2.661 1.360
Cu 0.756 -6.471 2.975
Li 0.332 -3.969 3.413
Li -0.083 -5.163 0.922
CELL_PARAMETERS angstrom
-1.074 -0.831 3.709
-1.904 -3.218 -1.272
3.227 -5.083 1.899
```



# 17
Entry from Alexandria via LeMat-Bulk: an optimized crystal structure of LiTlCu3 (PBE-GGA). Values from VASP.

Properties
Excess energy over the best structure of this formula in the dataset = 152 meV per atom
Total moment = 0.0 Bohr magnetons per cell
DFT formation energy = 0.72 eV per atom
Volume = 24.4 Å³ per atom
D(E_F) = 1.60 states/eV/f.u.
Space-group type = Pm-3m (221)
E_tot = -0.1910 Ry/atom

Quantum ESPRESSO input file:
```
&SYSTEM
  ibrav = 0, nat = 5, ntyp = 3
/
ATOMIC_SPECIES
Tl 204.38 Tl.upf
Cu 63.55 Cu.upf
Li 6.94 Li.upf
ATOMIC_POSITIONS angstrom
Tl 0.000 0.000 0.000
Cu 0.000 2.481 0.000
Cu 0.000 0.000 2.481
Cu 2.481 0.000 0.000
Li 2.481 2.481 2.481
CELL_PARAMETERS angstrom
4.961 0.000 0.000
0.000 4.961 0.000
0.000 0.000 4.961
```



# 18
Entry from Alexandria via LeMat-Bulk: an optimized crystal structure of LiTl2Cu2 (PBE-GGA). Values from VASP.

Properties
Excess energy over the best structure of this formula in the dataset = 0 meV per atom
Total moment = 0.0 Bohr magnetons per cell
DFT formation energy = 0.10 eV per atom
Volume = 20.0 Å³ per atom
D(E_F) = 1.94 states/eV/f.u.
Space-group type = I4/mmm (139)
E_tot = -0.2108 Ry/atom

Quantum ESPRESSO input file:
```
&SYSTEM
  ibrav = 0, nat = 5, ntyp = 3
/
ATOMIC_SPECIES
Tl 204.38 Tl.upf
Cu 63.55 Cu.upf
Li 6.94 Li.upf
ATOMIC_POSITIONS angstrom
Tl 1.708 1.708 1.914
Tl 3.416 3.416 6.647
Cu 3.416 1.708 4.281
Cu 1.708 3.416 4.281
Li 0.000 0.000 0.000
CELL_PARAMETERS angstrom
3.416 0.000 0.000
0.000 3.416 0.000
1.708 1.708 8.561
```



# 19
Entry from Alexandria via LeMat-Bulk: an optimized crystal structure of Li3TlCu (PBE-GGA). Values from VASP.

Properties
Excess energy over the best structure of this formula in the dataset = 0 meV per atom
Total moment = 0.0 Bohr magnetons per cell
DFT formation energy = 0.09 eV per atom
Volume = 20.4 Å³ per atom
D(E_F) = 2.28 states/eV/f.u.
Space-group type = Pm-3m (221)
E_tot = -0.1727 Ry/atom

Quantum ESPRESSO input file:
```
&SYSTEM
  ibrav = 0, nat = 5, ntyp = 3
/
ATOMIC_SPECIES
Tl 204.38 Tl.upf
Cu 63.55 Cu.upf
Li 6.94 Li.upf
ATOMIC_POSITIONS angstrom
Tl -0.193 -3.689 -1.651
Cu 0.000 0.000 0.000
Li 0.461 -0.504 -2.234
Li 1.259 -1.848 0.677
Li -1.913 -1.337 -0.094
CELL_PARAMETERS angstrom
-3.827 -2.674 -0.187
0.923 -1.008 -4.468
2.517 -3.696 1.353
```



# 20
Entry from Alexandria via LeMat-Bulk: an optimized crystal structure of LiTl2Cu (PBE-GGA). Values from VASP.

Properties
Total moment = 0.0 Bohr magnetons per cell
DFT formation energy = 0.07 eV per atom
Volume = 21.6 Å³ per atom
D(E_F) = 1.56 states/eV/f.u.
Space-group type = Imm2 (44)
E_tot = -0.1922 Ry/atom

Quantum ESPRESSO input file:
```
&SYSTEM
  ibrav = 0, nat = 4, ntyp = 3
/
ATOMIC_SPECIES
Cu 63.55 Cu.upf
Li 6.94 Li.upf
Tl 204.38 Tl.upf
ATOMIC_POSITIONS angstrom
Cu 4.968 2.797 0.000
Li 2.819 -0.446 1.410
Tl 0.110 0.062 0.000
Tl 2.311 2.506 1.320
CELL_PARAMETERS angstrom
6.312 0.314 0.090
3.542 5.234 -0.090
-4.573 -3.403 2.730
```